Computed, not measured: LiTcSb after structural relaxation at the GGA-PBEsol level of DFT.

The structure in POSCAR format:
```
LiTcSb
1.0
2.810 0.000 0.000
0.000 4.556 0.000
0.000 -2.278 3.946
Sb Tc Li
1 1 1
Cartesian
1.483 0.000 2.630
1.355 2.278 1.315
2.781 0.000 0.000
```

Calculated values
Formation energy (no corrections), eV per atom: 0.149
M_tot, μB per cell: 0.0
DOS at the Fermi energy, states/eV/atom: 0.49